No. 1
{"formula": "RbTcO3", "functional": "PBE", "state": "relaxed", "cell": [[-1.325, 2.549, -1.628], [0.209, -1.695, -2.826], [-6.316, -2.589, 1.085]], "species": ["O", "O", "O", "Rb", "Tc"], "fractional_positions": [[0.000, 0.500, 0.426], [0.500, 0.000, 0.426], [0.000, 0.000, 0.730], [0.000, 0.000, 0.110], [0.500, 0.500, 0.572]], "raw_formation_energy_ev_per_atom": -0.694}

No. 2
{"formula": "RbTc3O", "functional": "PBE", "state": "relaxed", "cell": [[-3.245, -2.168, -1.884], [-0.420, -2.453, 3.547], [-2.841, 2.839, 1.626]], "species": ["O", "Rb", "Tc", "Tc", "Tc"], "fractional_positions": [[0.000, 0.000, 0.000], [0.500, 0.500, 0.500], [0.000, 0.500, 0.000], [0.000, 0.000, 0.500], [0.500, 0.000, 0.000]], "raw_formation_energy_ev_per_atom": 1.217, "relative_energy_mev_per_atom": 0}

No. 3
{"formula": "RbTcO3", "functional": "PBE", "state": "relaxed", "cell": [[-3.892, -6.412, -0.294], [-5.463, -0.845, -5.079], [0.941, -4.701, -5.777]], "species": ["Rb", "Rb", "Rb", "Rb", "Tc", "Tc", "Tc", "Tc", "O", "O", "O", "O", "O", "O", "O", "O", "O", "O", "O", "O"], "fractional_positions": [[0.125, 0.125, 0.125], [0.625, 0.125, 0.125], [0.125, 0.125, 0.625], [0.125, 0.625, 0.125], [0.625, 0.625, 0.625], [0.625, 0.625, 0.125], [0.625, 0.125, 0.625], [0.125, 0.625, 0.625], [0.935, 0.935, 0.565], [0.565, 0.935, 0.935], [0.935, 0.565, 0.565], [0.685, 0.685, 0.315], [0.685, 0.315, 0.315], [0.315, 0.315, 0.685], [0.315, 0.685, 0.685], [0.565, 0.935, 0.565], [0.315, 0.685, 0.315], [0.565, 0.565, 0.935], [0.935, 0.565, 0.935], [0.685, 0.315, 0.685]], "raw_formation_energy_ev_per_atom": -1.447}

No. 4
{"formula": "RbTcO3", "functional": "PBE", "state": "relaxed", "cell": [[4.822, 0.558, 0.000], [-1.187, 6.694, 0.000], [0.000, 0.000, 11.798]], "species": ["Tc", "Tc", "Tc", "Tc", "O", "O", "O", "O", "O", "O", "O", "O", "O", "O", "O", "O", "Rb", "Rb", "Rb", "Rb"], "fractional_positions": [[0.248, 0.249, 0.790], [0.748, 0.249, 0.710], [0.252, 0.751, 0.290], [0.752, 0.751, 0.210], [0.435, 0.445, 0.702], [0.751, 0.750, 0.059], [0.440, 0.947, 0.202], [0.251, 0.750, 0.441], [0.249, 0.250, 0.941], [0.935, 0.445, 0.798], [0.560, 0.053, 0.798], [0.565, 0.555, 0.298], [0.060, 0.053, 0.702], [0.749, 0.250, 0.559], [0.065, 0.555, 0.202], [0.940, 0.947, 0.298], [0.749, 0.251, 0.076], [0.249, 0.251, 0.424], [0.751, 0.749, 0.576], [0.251, 0.749, 0.924]], "raw_formation_energy_ev_per_atom": -1.561}

No. 5
{"formula": "RbTcO3", "functional": "PBE", "state": "relaxed", "cell": [[-3.697, 2.723, -1.441], [-4.062, -3.265, 4.251], [2.599, 4.146, 5.669]], "species": ["O", "O", "O", "O", "O", "O", "Rb", "Rb", "Tc", "Tc"], "fractional_positions": [[0.297, 0.250, 0.415], [0.703, 0.750, 0.585], [0.827, 0.026, 0.186], [0.173, 0.526, 0.814], [0.827, 0.474, 0.186], [0.173, 0.974, 0.814], [0.362, 0.750, 0.225], [0.638, 0.250, 0.775], [0.963, 0.250, 0.281], [0.037, 0.750, 0.719]], "raw_formation_energy_ev_per_atom": -1.339}

No. 6
{"formula": "RbTcO3", "functional": "PBE", "state": "relaxed", "cell": [[-0.994, -0.800, 3.362], [0.545, -3.491, -0.670], [11.715, -1.012, 5.147]], "species": ["O", "O", "O", "O", "O", "O", "Tc", "Tc", "Rb", "Rb"], "fractional_positions": [[0.667, 0.667, 0.666], [0.641, 0.897, 0.205], [0.154, 0.897, 0.205], [0.103, 0.846, 0.795], [0.103, 0.359, 0.795], [0.333, 0.333, 0.334], [0.630, 0.130, 0.739], [0.870, 0.370, 0.261], [0.000, 0.000, 0.000], [0.250, 0.750, 0.500]], "raw_formation_energy_ev_per_atom": -0.500}

No. 7
{"formula": "RbTcO3", "functional": "PBE", "state": "relaxed", "cell": [[-14.328, 9.962, 8.889], [-7.174, 3.196, 0.756], [4.556, -6.252, -1.551]], "species": ["Rb", "Rb", "O", "O", "O", "O", "O", "O", "Tc", "Tc"], "fractional_positions": [[0.278, 0.119, 0.881], [0.722, 0.881, 0.119], [0.601, 0.223, 0.777], [0.399, 0.777, 0.223], [0.098, 0.602, 0.398], [0.107, 0.960, 0.040], [0.893, 0.040, 0.960], [0.902, 0.398, 0.602], [0.844, 0.986, 0.014], [0.156, 0.014, 0.986]], "raw_formation_energy_ev_per_atom": -1.501}

No. 8
{"formula": "RbTcO3", "functional": "PBE", "state": "relaxed", "cell": [[-13.383, -12.139, 0.466], [-5.961, -4.584, -3.446], [7.588, 2.728, 1.844]], "species": ["O", "O", "O", "O", "O", "O", "Rb", "Rb", "Tc", "Tc"], "fractional_positions": [[0.484, 0.390, 0.610], [0.784, 0.257, 0.743], [0.216, 0.743, 0.257], [0.832, 0.865, 0.135], [0.168, 0.135, 0.865], [0.516, 0.610, 0.390], [0.850, 0.021, 0.979], [0.150, 0.979, 0.021], [0.307, 0.080, 0.920], [0.693, 0.920, 0.080]], "raw_formation_energy_ev_per_atom": -1.406}